Entry 1:
ZnAs2W | SCAN | single point on PBEsol structure

Cell lengths 3.3038, 4.3429, 5.1290 Å; angles 115.05, 108.79, 90.00 degrees
Last column: nearest neighbours and their distance in Å.
Fractional coordinates of all 4 atoms:
As: 0.9894 0.9894 0.9788  2 Zn 2.62, 4 W 2.73, 2 As 2.84
As: 0.7554 0.2554 0.5108  2 W 2.70, 4 Zn 2.73, 4 As 2.84-2.97
W: 0.5006 0.5006 0.0012  6 As 2.70-2.73, 2 Zn 2.76
Zn: 0.2546 0.7546 0.5092  6 As 2.62-2.73, 2 W 2.76

formation enthalpy at 0 K	0.487	eV/atom
space group	Imm2, No. 44


Entry 2:
TeI2NF | SCAN | single point on PBEsol structure

Cell lengths 3.2909, 6.3155, 6.3155 Å; angles 90.00, 90.00, 90.00 degrees
Last column: nearest neighbours and their distance in Å.
Fractional coordinates of all 5 atoms:
I: 0.0000 0.0000 0.5000  2 F 3.16, 2 I 3.29
I: 0.0000 0.5000 0.0000  2 F 3.16, 2 I 3.29
N: 0.5000 0.0000 0.0000  2 F 1.65
Te: 0.5000 0.5000 0.5000  2 Te 3.29, 8 I 3.56
F: 0.0000 0.0000 0.0000  2 N 1.65

formation energy without anion corrections	1034	meV/atom
space group	P4/mmm, No. 123


Entry 3:
CuBiB2Pb | SCAN | single point on PBEsol structure

Cell lengths 4.5515, 4.5515, 4.9875 Å; angles 90.00, 90.00, 90.00 degrees
Last column: nearest neighbours and their distance in Å.
Fractional coordinates of all 5 atoms:
Pb: 0.0000 0.0000 0.0000  4 B 2.28, 2 Cu 2.49
B: 0.0000 0.5000 0.0000  2 Pb 2.28
B: 0.5000 0.0000 0.0000  2 Pb 2.28
Bi: 0.5000 0.5000 0.5000  4 Cu 3.22, 8 B 3.38
Cu: 0.0000 0.0000 0.5000  2 Pb 2.49

formation enthalpy at 0 K	1.905	eV/atom
space group	P4/mmm, No. 123


Entry 4:
TiNi | SCAN | single point on PBEsol structure

Cell lengths 2.6612, 4.2283, 4.5937 Å; angles 90.00, 90.00, 90.00 degrees
Last column: nearest neighbours and their distance in Å.
Fractional coordinates of all 4 atoms:
Ni: 0.5000 0.7500 0.8187  8 Ti 2.53-2.78, 4 Ni 2.66-2.69
Ni: 0.5000 0.2500 0.1813  8 Ti 2.53-2.78, 4 Ni 2.66-2.69
Ti: 0.0000 0.7500 0.2869  8 Ni 2.53-2.78, 2 Ti 2.66
Ti: 0.0000 0.2500 0.7131  8 Ni 2.53-2.78, 2 Ti 2.66

formation enthalpy at 0 K	-0.431	eV/atom
space group	Pmma, No. 51


no.,spin magnetization (μB/atom)
1,0.0000
2,0.5232
3,0.0000
4,0.0001